Below is Na2YTi after structural relaxation, with properties calculated at the PBE level.

Size of the total moment (μB/f.u.): 0.00
D(E_F) (states/eV/cell): 21.622
Excess energy over the best structure of this formula in the dataset (meV/atom): 111
ρ (g/cm³): 2.8
E_form (eV/atom): 0.873

abc: 8.6859 8.6859 5.7933
angles: 90.00 90.00 90.00
Space group I-42d (No. 122)
One atom of each set of equivalent atoms:
Na 0.2300 0.2500 0.1250 (multiplicity 8)
Y 0.0000 0.0000 0.5000 (multiplicity 4)
Ti 0.0000 0.0000 0.0000 (multiplicity 4)



Below is Ba4Br6O after structural relaxation, with properties calculated at the PBE level.

Size of the total moment (μB/f.u.): 0.13
D(E_F) (states/eV/cell): 0.000
Excess energy over the best structure of this formula in the dataset (meV/atom): 85
Energy relative to the elements, uncorrected (eV/atom): -2.24
ρ (g/cm³): 4.3

abc: 10.2317 10.2317 7.7457
angles: 90.00 90.00 90.00
Space group P4_2/nmc (No. 137, origin choice 2)
One atom of each set of equivalent atoms:
Ba 0.0177 0.7500 0.0888 (multiplicity 8)
Br 0.0456 0.5456 0.7500 (multiplicity 8)
Br 0.2500 0.2500 0.1515 (multiplicity 4)
O 0.2500 0.7500 0.2500 (multiplicity 2)



Below is Sr2Sb2Au after structural relaxation, with properties calculated at the PBE level.

Size of the total moment (μB/f.u.): 0.00
D(E_F) (states/eV/cell): 4.158
Excess energy over the best structure of this formula in the dataset (meV/atom): 152
Energy relative to the elements, uncorrected (eV/atom): -0.70
ρ (g/cm³): 6.7

abc: 7.8765 7.8765 4.9083
angles: 90.00 90.00 90.00
Space group P4/mbm (No. 127)
One atom of each set of equivalent atoms:
Sr 0.1716 0.3284 0.0000 (multiplicity 4)
Sb 0.1368 0.6368 0.5000 (multiplicity 4)
Au 0.0000 0.0000 0.5000 (multiplicity 2)



Below is ScB3W after structural relaxation, with properties calculated at the PBE level.

Size of the total moment (μB/f.u.): 0.00
D(E_F) (states/eV/cell): 3.713
Excess energy over the best structure of this formula in the dataset (meV/atom): 0
ρ (g/cm³): 8.7
E_form (eV/atom): -0.696

abc: 3.3424 19.2801 3.1120
angles: 90.00 90.00 90.00
Space group Cmcm (No. 63)
One atom of each set of equivalent atoms:
Sc 0.0000 0.0709 0.2500 (multiplicity 4)
B 0.0000 0.3322 0.7500 (multiplicity 4)
B 0.0000 0.3824 0.2500 (multiplicity 4)
B 0.0000 0.4766 0.2500 (multiplicity 4)
W 0.0000 0.2056 0.7500 (multiplicity 4)



Below is Mg2SiP after structural relaxation, with properties calculated at the PBE level.

Size of the total moment (μB/f.u.): 0.00
D(E_F) (states/eV/cell): 2.221
Excess energy over the best structure of this formula in the dataset (meV/atom): 93
Energy relative to the elements, uncorrected (eV/atom): 0.05
ρ (g/cm³): 2.4

abc: 2.9951 4.3646 5.6736
angles: 90.00 90.00 90.00
Space group Pmm2 (No. 25)
One atom of each set of equivalent atoms:
Mg 0.0000 0.0000 0.0000 (multiplicity 1)
Mg 0.5000 0.5000 0.3837 (multiplicity 1)
Si 0.5000 0.5000 0.8784 (multiplicity 1)
P 0.0000 0.0000 0.4809 (multiplicity 1)



Below is CaBrCl2 after structural relaxation, with properties calculated at the PBE level.

Size of the total moment (μB/f.u.): 1.06
D(E_F) (states/eV/cell): 25.301
Excess energy over the best structure of this formula in the dataset (meV/atom): 443
Energy relative to the elements, uncorrected (eV/atom): -1.19
ρ (g/cm³): 3.2

abc: 7.3370 7.3370 7.3370
angles: 90.00 90.00 90.00
Space group F-43m (No. 216)
One atom of each set of equivalent atoms:
Ca 0.0000 0.0000 0.0000 (multiplicity 4)
Br 0.2500 0.2500 0.7500 (multiplicity 4)
Cl 0.0000 0.0000 0.5000 (multiplicity 4)
Cl 0.2500 0.2500 0.2500 (multiplicity 4)